Entry from the Alexandria database: an optimized crystal structure of FePbIO2 (PBE+U).

Properties
- total energy (eV per atom) = -4.412
- ΔE to the lowest computed polymorph (eV/atom) = 0.000

Cell: 4.2512 4.2512 5.3744 Å, 90.00 90.00 90.00°
Last column: nearest neighbours and their distance in Å.
Sites, in units of the cell vectors:
Fe: 0.0000 0.0000 0.0000  4 O 2.13
Pb: 0.5000 0.5000 0.5000  4 I 3.01
I: 0.0000 0.0000 0.5000  2 Fe 2.69, 4 Pb 3.01
O: 0.0000 0.5000 0.0000  2 Fe 2.13
O: 0.5000 0.0000 0.0000  2 Fe 2.13